DFT (GGA-PBE) results for a geometry-optimized CsK2AgS2 structure.

Cell: 5.7403 8.0647 8.7144 Å, 90.00 90.00 90.00°
With the nearest neighbours (Å) after each atom.
Sites, in units of the cell vectors:
Ag 0.0000 0.0000 0.0000  2 S 2.36
Ag 0.5000 0.5000 0.5000  2 S 2.36
S 0.0000 0.7449 0.8681  1 Ag 2.36
S 0.5000 0.7551 0.3681  1 Ag 2.36
S 0.0000 0.2551 0.1319  1 Ag 2.36
S 0.5000 0.2449 0.6319  1 Ag 2.36
K 0.5000 0.8777 0.7462  4 S 3.12-3.44
K 0.0000 0.6223 0.2462  4 S 3.12-3.44
K 0.5000 0.1223 0.2538  4 S 3.12-3.44
K 0.0000 0.3777 0.7538  4 S 3.12-3.44
Cs 0.5000 0.5000 0.0000  6 S 3.67-3.81, 6 K 3.72-3.76
Cs 0.0000 0.0000 0.5000  6 S 3.67-3.81, 6 K 3.72-3.76

Summary:
E, eV/atom: -3.24
Fermi-level density of states, states/eV per atom: 0.0000
Crystal system: orthorhombic
E_form (uncorrected), meV/atom: -881

DFT (GGA-PBE) results for a geometry-optimized Cs2KAgS structure.

Cell: 6.7588 6.7588 6.0102 Å, 90.00 90.00 90.00°
With the nearest neighbours (Å) after each atom.
Sites, in units of the cell vectors:
K 0.0000 0.0000 0.5000  2 S 3.01
Ag 0.5000 0.5000 0.5000  8 Cs 4.52, 4 K 4.78
S 0.0000 0.0000 0.0000  2 K 3.01
Cs 0.0000 0.5000 0.0000  2 S 3.38
Cs 0.5000 0.0000 0.0000  2 S 3.38

Summary:
E, eV/atom: -2.47
Crystal system: tetragonal
E_form (uncorrected), meV/atom: -510

DFT (GGA-PBE) results for a geometry-optimized CsK2AgS structure.

Cell: 6.0477 6.0477 6.7609 Å, 90.00 90.00 90.00°
With the nearest neighbours (Å) after each atom.
Sites, in units of the cell vectors:
Cs 0.0000 0.0000 0.5000  2 S 3.38
S 0.0000 0.0000 0.0000  4 K 3.02, 2 Cs 3.38
K 0.5000 0.0000 0.0000  2 S 3.02
K 0.0000 0.5000 0.0000  2 S 3.02
Ag 0.5000 0.5000 0.5000  4 Cs 4.28, 8 K 4.54

Summary:
E, eV/atom: -2.52
Crystal system: tetragonal
E_form (uncorrected), meV/atom: -517

DFT (GGA-PBE) results for a geometry-optimized Cs2KAgSb structure.

Cell: 6.7890 6.2669 6.7890 Å, 90.00 90.00 90.00°
With the nearest neighbours (Å) after each atom.
Sites, in units of the cell vectors:
Ag 0.0000 0.0000 0.0000  2 K 3.13, 4 Cs 3.39
Cs 0.5000 0.0000 0.0000  2 Ag 3.39
Cs 0.0000 0.0000 0.5000  2 Ag 3.39
Sb 0.5000 0.5000 0.5000  8 Cs 4.62, 4 K 4.80
K 0.0000 0.5000 0.0000  2 Ag 3.13

Summary:
E, eV/atom: -1.87
Fermi-level density of states, states/eV per atom: 1.5577
Crystal system: tetragonal
Excess energy over the best structure of this formula in the dataset, meV/atom: 189
E_form (uncorrected), meV/atom: 87

DFT (GGA-PBE) results for a geometry-optimized CsK2AgSb structure.

Cell: 6.8479 6.8479 5.4811 Å, 90.00 90.00 90.00°
With the nearest neighbours (Å) after each atom.
Sites, in units of the cell vectors:
K 0.5000 0.0000 0.0000  2 Sb 3.42
K 0.0000 0.5000 0.0000  2 Sb 3.42
Cs 0.5000 0.5000 0.5000  8 K 4.39, 4 Ag 4.84
Ag 0.0000 0.0000 0.5000  2 Sb 2.74
Sb 0.0000 0.0000 0.0000  2 Ag 2.74

Summary:
E, eV/atom: -2.11
Fermi-level density of states, states/eV per atom: 0.3570
Crystal system: tetragonal
Excess energy over the best structure of this formula in the dataset, meV/atom: 19
E_form (uncorrected), meV/atom: -107

DFT (GGA-PBE) results for a geometry-optimized CsK2AgSb structure.

Cell: 6.4801 6.4801 5.4476 Å, 90.00 90.00 90.00°
With the nearest neighbours (Å) after each atom.
Sites, in units of the cell vectors:
Cs 0.5000 0.5000 0.5000  8 K 4.23, 4 Sb 4.58
K 0.5000 0.0000 0.0000  2 Ag 3.24
K 0.0000 0.5000 0.0000  2 Ag 3.24
Sb 0.0000 0.0000 0.5000  2 Ag 2.72
Ag 0.0000 0.0000 0.0000  2 Sb 2.72

Summary:
E, eV/atom: -2.13
Fermi-level density of states, states/eV per atom: 0.4454
Crystal system: tetragonal
Excess energy over the best structure of this formula in the dataset, meV/atom: 0
E_form (uncorrected), meV/atom: -125

no.,spin magnetization (μB/f.u.)
1,0.0
2,0.0
3,0.0
4,1.0
5,0.4
6,0.6